[1]
A plane-wave DFT calculation with GGA-PBE was carried out for an optimized crystal structure of CoReP3.

Geometry as POSCAR:
```
CoReP3
1.0
4.583 0.000 0.000
0.000 4.583 0.000
0.000 0.000 4.583
Co Re P
1 1 3
Direct
0.000 0.000 0.000
0.500 0.500 0.500
0.000 0.500 0.500
0.500 0.000 0.500
0.500 0.500 0.000
```

Computed properties:
The polymorph energy (0 for the lowest one) comes out at 104 meV/atom. For the formation energy, the calculation gives 1.11 eV per atom. The space group is No. 221. The value obtained for the calculated total energy is -30.21 eV/cell.



[2]
A plane-wave DFT calculation with GGA-PBE was carried out for an optimized crystal structure of Co2ReP.

Geometry as POSCAR:
```
Co2ReP
1.0
2.747 0.000 0.000
0.000 3.559 0.000
0.000 0.000 4.876
Co Re P
2 1 1
Direct
0.000 0.000 0.247
0.000 0.000 0.753
0.500 0.500 0.500
0.500 0.500 0.000
```

Computed properties:
For the formation energy, the calculation gives -0.01 eV per atom. The space group is No. 47. The value obtained for the calculated total energy is -32.11 eV/cell.



[3]
A plane-wave DFT calculation with GGA-PBE was carried out for an optimized crystal structure of Co2ReP.

Geometry as POSCAR:
```
Co2ReP
1.0
2.680 0.000 0.000
0.000 2.680 0.000
0.000 0.000 6.497
Co Re P
2 1 1
Direct
0.000 0.000 0.205
0.000 0.000 0.795
0.500 0.500 0.500
0.500 0.500 0.000
```

Computed properties:
For the formation energy, the calculation gives -0.09 eV per atom. The space group is No. 123. The value obtained for the calculated total energy is -32.43 eV/cell.



[4]
A plane-wave DFT calculation with GGA-PBE was carried out for an optimized crystal structure of CoReP.

Geometry as POSCAR:
```
CoReP
1.0
0.000 2.717 2.717
2.717 0.000 2.717
2.717 2.717 0.000
Co Re P
1 1 1
Direct
0.000 0.000 0.000
0.500 0.500 0.500
0.250 0.250 0.250
```

Computed properties:
The polymorph energy (0 for the lowest one) comes out at 211 meV/atom. For the formation energy, the calculation gives -0.13 eV per atom. The space group is No. 216. The value obtained for the calculated total energy is -25.37 eV/cell.



[5]
A plane-wave DFT calculation with GGA-PBE was carried out for an optimized crystal structure of CoReP2.

Geometry as POSCAR:
```
CoReP2
1.0
3.689 -1.467 0.000
3.689 1.467 0.000
-0.820 0.000 4.660
Co Re P
1 1 2
Direct
0.000 0.000 0.000
0.500 0.500 0.500
0.243 0.243 0.757
0.757 0.757 0.243
```

Computed properties:
The polymorph energy (0 for the lowest one) comes out at 216 meV/atom. For the formation energy, the calculation gives -0.04 eV per atom. The space group is No. 12. The value obtained for the calculated total energy is -30.54 eV/cell.



[6]
A plane-wave DFT calculation with GGA-PBE was carried out for an optimized crystal structure of Co2ReP2.

Geometry as POSCAR:
```
Co2ReP2
1.0
6.407 0.000 0.000
0.000 6.407 0.000
0.000 0.000 2.831
Co Re P
4 2 4
Direct
0.141 0.359 0.000
0.359 0.859 0.000
0.641 0.141 0.000
0.859 0.641 0.000
0.000 0.000 0.500
0.500 0.500 0.500
0.150 0.650 0.500
0.350 0.150 0.500
0.650 0.850 0.500
0.850 0.350 0.500
```

Computed properties:
For the formation energy, the calculation gives -0.20 eV per atom. The space group is No. 127. The value obtained for the calculated total energy is -76.91 eV/cell.



[7]
A plane-wave DFT calculation with GGA-PBE was carried out for an optimized crystal structure of Co2ReP.

Geometry as POSCAR:
```
Co2ReP
1.0
2.454 -3.668 0.000
2.454 3.668 0.000
0.000 0.000 2.655
Co Re P
2 1 1
Direct
0.000 0.500 0.000
0.500 0.000 0.000
0.000 0.000 0.500
0.500 0.500 0.500
```

Computed properties:
For the formation energy, the calculation gives 0.07 eV per atom. The space group is No. 65. The value obtained for the calculated total energy is -31.79 eV/cell.



[8]
A plane-wave DFT calculation with GGA-PBE was carried out for an optimized crystal structure of CoReP2.

Geometry as POSCAR:
```
CoReP2
1.0
0.000 2.960 2.960
2.960 0.000 2.960
2.960 2.960 0.000
Co Re P
1 1 2
Direct
0.000 0.000 0.000
0.250 0.250 0.250
0.500 0.500 0.500
0.750 0.750 0.750
```

Computed properties:
The polymorph energy (0 for the lowest one) comes out at 794 meV/atom. For the formation energy, the calculation gives 0.54 eV per atom. The space group is No. 216. The value obtained for the calculated total energy is -28.23 eV/cell.



[9]
A plane-wave DFT calculation with GGA-PBE was carried out for an optimized crystal structure of Co2ReP.

Geometry as POSCAR:
```
Co2ReP
1.0
-1.451 2.031 4.042
1.451 -2.031 4.042
1.451 2.031 -4.042
Co Re P
2 1 1
Direct
0.000 0.000 0.000
0.713 0.213 0.500
0.434 0.434 0.000
0.199 0.699 0.500
```

Computed properties:
For the formation energy, the calculation gives -0.05 eV per atom. The space group is No. 44. The value obtained for the calculated total energy is -32.25 eV/cell.



[10]
A plane-wave DFT calculation with GGA-PBE was carried out for an optimized crystal structure of CoRe2P.

Geometry as POSCAR:
```
CoRe2P
1.0
0.000 3.009 3.009
3.009 0.000 3.009
3.009 3.009 0.000
Co Re P
1 2 1
Direct
0.000 0.000 0.000
0.500 0.500 0.500
0.750 0.750 0.750
0.250 0.250 0.250
```

Computed properties:
For the formation energy, the calculation gives 0.37 eV per atom. The space group is No. 216. The value obtained for the calculated total energy is -35.92 eV/cell.



[11]
A plane-wave DFT calculation with GGA-PBE was carried out for an optimized crystal structure of CoRe2P.

Geometry as POSCAR:
```
CoRe2P
1.0
1.526 -2.248 0.000
1.526 2.248 0.000
0.000 0.000 7.801
Co Re P
1 2 1
Direct
0.000 0.000 0.000
0.000 0.000 0.442
0.500 0.500 0.726
0.500 0.500 0.194
```

Computed properties:
For the formation energy, the calculation gives 0.31 eV per atom. The space group is No. 35. The value obtained for the calculated total energy is -36.16 eV/cell.



[12]
A plane-wave DFT calculation with GGA-PBE was carried out for an optimized crystal structure of Co2ReP.

Geometry as POSCAR:
```
Co2ReP
1.0
-1.423 2.019 4.040
1.423 -2.019 4.040
1.423 2.019 -4.040
Co Re P
2 1 1
Direct
0.221 0.221 0.000
0.779 0.779 0.000
0.500 0.000 0.500
0.000 0.500 0.500
```

Computed properties:
For the formation energy, the calculation gives -0.10 eV per atom. The space group is No. 71. The value obtained for the calculated total energy is -32.47 eV/cell.



[13]
A plane-wave DFT calculation with GGA-PBE was carried out for an optimized crystal structure of CoReP2.

Geometry as POSCAR:
```
CoReP2
1.0
-2.579 2.579 5.095
2.579 -2.579 5.095
2.579 2.579 -5.095
Co Re P
2 2 4
Direct
0.000 0.000 0.000
0.750 0.250 0.500
0.250 0.750 0.500
0.500 0.500 0.000
0.104 0.625 0.979
0.375 0.354 0.479
0.646 0.125 0.021
0.875 0.896 0.521
```

Computed properties:
The polymorph energy (0 for the lowest one) comes out at 275 meV/atom. For the formation energy, the calculation gives 0.02 eV per atom. The space group is No. 122. The value obtained for the calculated total energy is -60.61 eV/cell.



[14]
A plane-wave DFT calculation with GGA-PBE was carried out for an optimized crystal structure of Co3ReP.

Geometry as POSCAR:
```
Co3ReP
1.0
4.074 0.000 0.000
0.000 4.074 0.000
0.000 0.000 4.074
Co Re P
3 1 1
Direct
0.000 0.000 0.500
0.000 0.500 0.000
0.500 0.000 0.000
0.500 0.500 0.500
0.000 0.000 0.000
```

Computed properties:
The polymorph energy (0 for the lowest one) comes out at 0 meV/atom. For the formation energy, the calculation gives 0.69 eV per atom. The space group is No. 221. The value obtained for the calculated total energy is -35.72 eV/cell.



[15]
A plane-wave DFT calculation with GGA-PBE was carried out for an optimized crystal structure of CoRe2P.

Geometry as POSCAR:
```
CoRe2P
1.0
1.382 0.798 7.986
-1.382 0.798 7.986
0.000 -1.596 7.986
Co Re P
1 2 1
Direct
0.000 0.000 0.000
0.515 0.515 0.515
0.755 0.755 0.755
0.263 0.263 0.263
```

Computed properties:
For the formation energy, the calculation gives 0.01 eV per atom. The space group is No. 160. The value obtained for the calculated total energy is -37.35 eV/cell.